Record 1
Material: AcGaN2
Method: DFT, PBE-GGA
State: relaxed

Calculated values
Electronic total energy, eV per atom: -6.65
Crystal system: orthorhombic
Space-group type: Pna2_1

a b c (Å): 5.779 6.319 7.436
angles (deg): 90.00 90.00 90.00
Element x y z (fractional)
Ac 0.993 0.634 0.386
Ac 0.493 0.366 0.614
Ac 0.493 0.866 0.886
Ac 0.993 0.134 0.114
Ga 0.005 0.571 0.869
Ga 0.505 0.929 0.369
Ga 0.005 0.071 0.631
Ga 0.505 0.429 0.131
N 0.439 0.114 0.155
N 0.439 0.614 0.345
N 0.939 0.886 0.845
N 0.939 0.386 0.655
N 0.836 0.495 0.090
N 0.336 0.505 0.910
N 0.336 0.005 0.590
N 0.836 0.995 0.410

Record 2
Material: Mn2PRhI
Method: DFT, PBE-GGA
State: relaxed

Calculated values
Electronic total energy, eV per atom: -5.72
Crystal system: tetragonal
Space-group type: P4/mmm

a b c (Å): 4.316 5.457 4.316
angles (deg): 90.00 90.00 90.00
Site moments in Bohr magnetons follow the coordinates.
Element x y z (fractional)
I 0.000 0.500 0.000  0.05
P 0.000 0.000 0.000  -0.15
Mn 0.000 0.000 0.500  3.27
Mn 0.500 0.000 0.000  3.21
Rh 0.500 0.500 0.500  0.07

Record 3
Material: NaGePdSe3
Method: DFT, PBE-GGA
State: relaxed

Calculated values
Electronic total energy, eV per atom: -4.01
Crystal system: monoclinic
Space-group type: P2_1/m

a b c (Å): 3.776 7.424 10.802
angles (deg): 109.77 90.00 90.00
Element x y z (fractional)
Na 0.250 0.213 0.231
Na 0.750 0.787 0.769
Ge 0.250 0.182 0.620
Ge 0.750 0.818 0.380
Pd 0.250 0.710 0.118
Pd 0.750 0.290 0.882
Se 0.750 0.897 0.074
Se 0.250 0.103 0.926
Se 0.250 0.756 0.520
Se 0.750 0.244 0.480
Se 0.750 0.526 0.174
Se 0.250 0.474 0.826

Record 4
Material: TiCrGe3
Method: DFT, PBE-GGA
State: relaxed

Calculated values
Electronic total energy, eV per atom: -5.76
Crystal system: cubic
Space-group type: Pm-3m

a b c (Å): 4.618 4.618 4.618
angles (deg): 90.00 90.00 90.00
Site moments in Bohr magnetons follow the coordinates.
Element x y z (fractional)
Cr 0.000 0.000 0.000  0.73
Ge 0.000 0.500 0.000  -0.02
Ge 0.000 0.000 0.500  -0.04
Ge 0.500 0.000 0.000  0.00
Ti 0.500 0.500 0.500  1.57

Record 5
Material: Rb2MoNCl6
Method: DFT, PBE-GGA
State: relaxed

Calculated values
Electronic total energy, eV per atom: -3.82
Crystal system: tetragonal
Space-group type: I4/mmm

a b c (Å): 7.908 7.908 7.207
angles (deg): 56.73 56.73 90.00
Site moments in Bohr magnetons follow the coordinates.
Element x y z (fractional)
Mo 0.000 0.000 0.000  1.84
N 0.500 0.500 0.000  0.20
Rb 0.750 0.250 0.500  0.00
Rb 0.250 0.750 0.500  0.00
Cl 0.271 0.271 0.458  -0.02
Cl 0.729 0.729 0.542  -0.02
Cl 0.217 0.217 0.000  0.03
Cl 0.783 0.783 0.000  0.03
Cl 0.783 0.217 0.000  0.03
Cl 0.217 0.783 0.000  0.03

Record 6
Material: CdSe2O5
Method: DFT, PBE-GGA
State: relaxed

Calculated values
Electronic total energy, eV per atom: -4.98
Crystal system: orthorhombic
Space-group type: Pbcn

a b c (Å): 6.790 6.953 11.207
angles (deg): 90.00 90.00 90.00
Element x y z (fractional)
Cd 0.750 0.000 0.940
Cd 0.250 0.500 0.560
Cd 0.250 0.000 0.060
Cd 0.750 0.500 0.440
Se 0.053 0.368 0.842
Se 0.553 0.132 0.658
Se 0.947 0.868 0.658
Se 0.447 0.632 0.842
Se 0.947 0.632 0.158
Se 0.447 0.868 0.342
Se 0.053 0.132 0.342
Se 0.553 0.368 0.158
O 0.250 0.000 0.426
O 0.750 0.500 0.074
O 0.750 0.000 0.574
O 0.250 0.500 0.926
O 0.677 0.291 0.280
O 0.177 0.209 0.220
O 0.323 0.791 0.220
O 0.823 0.709 0.280
O 0.323 0.709 0.720
O 0.823 0.791 0.780
O 0.677 0.209 0.780
O 0.177 0.291 0.720
O 0.047 0.332 0.432
O 0.547 0.168 0.068
O 0.953 0.832 0.068
O 0.453 0.668 0.432
O 0.953 0.668 0.568
O 0.453 0.832 0.932
O 0.047 0.168 0.932
O 0.547 0.332 0.568

Record 7
Material: Cs2Rb3Cd4
Method: DFT, PBE-GGA
State: relaxed

Calculated values
Electronic total energy, eV per atom: -0.94
Crystal system: monoclinic
Space-group type: P2_1/c

a b c (Å): 9.883 10.196 10.164
angles (deg): 90.00 90.00 106.22
Element x y z (fractional)
Cs 0.580 0.193 0.326
Cs 0.920 0.807 0.826
Cs 0.420 0.807 0.674
Cs 0.080 0.193 0.174
Rb 0.000 0.500 0.500
Rb 0.500 0.500 0.000
Rb 0.752 0.246 0.816
Rb 0.748 0.754 0.316
Rb 0.248 0.754 0.184
Rb 0.252 0.246 0.684
Cd 0.891 0.073 0.528
Cd 0.609 0.927 0.028
Cd 0.109 0.927 0.472
Cd 0.391 0.073 0.972
Cd 0.891 0.495 0.105
Cd 0.609 0.505 0.605
Cd 0.109 0.505 0.895
Cd 0.391 0.495 0.395

Record 8
Material: TlZnP2Cl
Method: DFT, PBE-GGA
State: relaxed

Calculated values
Electronic total energy, eV per atom: -2.93
Crystal system: tetragonal
Space-group type: P4/mmm

a b c (Å): 4.665 4.665 5.709
angles (deg): 90.00 90.00 90.00
Site moments in Bohr magnetons follow the coordinates.
Element x y z (fractional)
P 0.000 0.500 0.000  0.32
P 0.500 0.000 0.000  0.32
Tl 0.500 0.500 0.500  0.02
Zn 0.000 0.000 0.000  0.01
Cl 0.000 0.000 0.500  0.11

What did the fourth record say?
Material: TiCrGe3
Method: DFT, PBE-GGA
State: relaxed

Calculated values
Electronic total energy, eV per atom: -5.76
Crystal system: cubic
Space-group type: Pm-3m

a b c (Å): 4.618 4.618 4.618
angles (deg): 90.00 90.00 90.00
Site moments in Bohr magnetons follow the coordinates.
Element x y z (fractional)
Cr 0.000 0.000 0.000  0.73
Ge 0.000 0.500 0.000  -0.02
Ge 0.000 0.000 0.500  -0.04
Ge 0.500 0.000 0.000  0.00
Ti 0.500 0.500 0.500  1.57